# 1
First-principles (GGA-PBE) data for a relaxed La2CdFeH crystal, as listed in the Alexandria database.

Cell lengths 5.335, 5.335, 3.782 Å; angles 90.00, 90.00, 90.00 degrees
Space group P4/mmm (No. 123)
Symmetry-distinct sites (fractional):
1 La 0.000 0.500 0.000 (multiplicity 2)
2 Cd 0.000 0.000 0.500 (multiplicity 1)
3 Fe 0.500 0.500 0.500 (multiplicity 1)
4 H 0.500 0.500 0.000 (multiplicity 1)

---

# 2
First-principles (GGA-PBE) data for a relaxed CdFe2HN crystal, as listed in the Alexandria database.

Cell lengths 3.517, 3.517, 4.601 Å; angles 90.00, 90.00, 90.00 degrees
Space group P4/mmm (No. 123)
Symmetry-distinct sites (fractional):
1 Cd 0.000 0.000 0.000 (multiplicity 1)
2 Fe 0.000 0.500 0.500 (multiplicity 2)
3 H 0.500 0.500 0.500 (multiplicity 1)
4 N 0.500 0.500 0.000 (multiplicity 1)

---

# 3
First-principles (GGA-PBE) data for a relaxed Na2CdFeH6 crystal, as listed in the Alexandria database.

Cell lengths 5.132, 5.132, 5.133 Å; angles 119.93, 119.92, 90.09 degrees
Space group P1 (No. 1)
Symmetry-distinct sites (fractional):
1 Na 0.000 0.000 0.000 (multiplicity 1)
2 Na 0.500 0.500 0.000 (multiplicity 1)
3 Cd 0.250 0.750 0.500 (multiplicity 1)
4 Fe 0.750 0.250 0.500 (multiplicity 1)
5 H 0.526 0.026 0.500 (multiplicity 1)
6 H 0.527 0.030 0.053 (multiplicity 1)
7 H 0.528 0.475 0.503 (multiplicity 1)
8 H 0.972 0.024 0.496 (multiplicity 1)
9 H 0.974 0.470 0.947 (multiplicity 1)
10 H 0.976 0.476 0.504 (multiplicity 1)

---

# 4
First-principles (GGA-PBE) data for a relaxed Nb2CdFeH crystal, as listed in the Alexandria database.

Cell lengths 4.152, 4.152, 4.065 Å; angles 90.00, 90.00, 90.00 degrees
Space group P4/mmm (No. 123)
Symmetry-distinct sites (fractional):
1 Nb 0.000 0.500 0.000 (multiplicity 2)
2 Cd 0.000 0.000 0.500 (multiplicity 1)
3 Fe 0.500 0.500 0.500 (multiplicity 1)
4 H 0.500 0.500 0.000 (multiplicity 1)

---

# 5
First-principles (GGA-PBE) data for a relaxed CdFeNi2H crystal, as listed in the Alexandria database.

Cell lengths 3.808, 3.808, 3.798 Å; angles 90.00, 90.00, 90.00 degrees
Space group P4/mmm (No. 123)
Symmetry-distinct sites (fractional):
1 Cd 0.000 0.000 0.000 (multiplicity 1)
2 Fe 0.500 0.500 0.000 (multiplicity 1)
3 Ni 0.000 0.500 0.500 (multiplicity 2)
4 H 0.500 0.500 0.500 (multiplicity 1)

---

# 6
First-principles (GGA-PBE) data for a relaxed CdFe2NiH crystal, as listed in the Alexandria database.

Cell lengths 3.747, 3.747, 3.971 Å; angles 90.00, 90.00, 90.00 degrees
Space group P4/mmm (No. 123)
Symmetry-distinct sites (fractional):
1 Cd 0.000 0.000 0.000 (multiplicity 1)
2 Fe 0.000 0.500 0.500 (multiplicity 2)
3 Ni 0.500 0.500 0.000 (multiplicity 1)
4 H 0.500 0.500 0.500 (multiplicity 1)

---

# 7
First-principles (GGA-PBE) data for a relaxed CdFeHPd2 crystal, as listed in the Alexandria database.

Cell lengths 4.087, 4.087, 3.902 Å; angles 90.00, 90.00, 90.00 degrees
Space group P4/mmm (No. 123)
Symmetry-distinct sites (fractional):
1 Cd 0.000 0.000 0.000 (multiplicity 1)
2 Fe 0.500 0.500 0.000 (multiplicity 1)
3 H 0.500 0.500 0.500 (multiplicity 1)
4 Pd 0.000 0.500 0.500 (multiplicity 2)

---

# 8
First-principles (GGA-PBE) data for a relaxed CdFe2HSe crystal, as listed in the Alexandria database.

Cell lengths 4.692, 4.692, 3.374 Å; angles 90.00, 90.00, 90.00 degrees
Space group P4/mmm (No. 123)
Symmetry-distinct sites (fractional):
1 Cd 0.000 0.000 0.000 (multiplicity 1)
2 Fe 0.000 0.500 0.500 (multiplicity 2)
3 H 0.500 0.500 0.000 (multiplicity 1)
4 Se 0.500 0.500 0.500 (multiplicity 1)

---

# 9
First-principles (GGA-PBE) data for a relaxed Y2CdFeH crystal, as listed in the Alexandria database.

Cell lengths 5.017, 5.017, 3.690 Å; angles 90.00, 90.00, 90.00 degrees
Space group P4/mmm (No. 123)
Symmetry-distinct sites (fractional):
1 Y 0.000 0.500 0.000 (multiplicity 2)
2 Cd 0.000 0.000 0.500 (multiplicity 1)
3 Fe 0.500 0.500 0.500 (multiplicity 1)
4 H 0.500 0.500 0.000 (multiplicity 1)

---

# 10
First-principles (GGA-PBE) data for a relaxed Zn2CdFeH crystal, as listed in the Alexandria database.

Cell lengths 4.911, 4.911, 3.175 Å; angles 90.00, 90.00, 90.00 degrees
Space group P4/mmm (No. 123)
Symmetry-distinct sites (fractional):
1 Zn 0.000 0.500 0.000 (multiplicity 2)
2 Cd 0.000 0.000 0.500 (multiplicity 1)
3 Fe 0.500 0.500 0.000 (multiplicity 1)
4 H 0.500 0.500 0.500 (multiplicity 1)

---

# 11
First-principles (GGA-PBE) data for a relaxed Hf3CdFe2 crystal, as listed in the Alexandria database.

Results
Formation energy, eV/atom: -0.196

Cell lengths 3.104, 3.104, 10.885 Å; angles 90.00, 90.00, 90.00 degrees
Space group P4/mmm (No. 123)
Symmetry-distinct sites (fractional):
1 Hf 0.000 0.000 0.000 (multiplicity 1)
2 Hf 0.000 0.000 0.291 (multiplicity 2)
3 Cd 0.500 0.500 0.500 (multiplicity 1)
4 Fe 0.500 0.500 0.148 (multiplicity 2)

---

# 12
First-principles (GGA-PBE) data for a relaxed Hf2CdFe crystal, as listed in the Alexandria database.

Results
Formation energy, eV/atom: -0.135

Cell lengths 3.147, 3.147, 7.499 Å; angles 90.00, 90.00, 90.00 degrees
Space group P4/mmm (No. 123)
Symmetry-distinct sites (fractional):
1 Hf 0.000 0.000 0.206 (multiplicity 2)
2 Cd 0.500 0.500 0.500 (multiplicity 1)
3 Fe 0.500 0.500 0.000 (multiplicity 1)

---

For the records above, the corresponding spin magnetization values read 1.5, 6.2, 0.2, 2.1, 3.0, 5.0, 2.9, 4.8, 1.5, 2.2, 0.1, 0.3 Bohr magnetons per cell.
For the records above, the corresponding total energy values read -4.624, -5.066, -3.231, -6.485, -4.744, -5.260, -4.679, -4.337, -5.308, -2.640, -8.146, -7.456 eV per atom.